Record 1
# Sr2LaW | the Alexandria database | GGA-PBE | optimized geometry
data_Sr2LaW
_chemical_formula_sum 'Sr4 La2 W2'
_symmetry_space_group_name_H-M 'P 1'
_symmetry_Int_Tables_number 1
_symmetry_space_group_name_Hall 'P 1'
_cell_length_a 3.5203
_cell_length_b 4.7393
_cell_length_c 18.3542
_cell_angle_alpha 90.00
_cell_angle_beta 90.00
_cell_angle_gamma 90.00
loop_
_atom_site_label
_atom_site_type_symbol
_atom_site_fract_x
_atom_site_fract_y
_atom_site_fract_z
Sr1 Sr 0.0000 0.0000 0.1603
Sr2 Sr 0.0000 0.0000 0.8397
Sr3 Sr 0.5000 0.5000 0.3397
Sr4 Sr 0.5000 0.5000 0.6603
La1 La 0.0000 0.5000 0.0000
La2 La 0.5000 0.0000 0.5000
W1 W 0.0000 0.5000 0.5000
W2 W 0.5000 0.0000 0.0000
# - ΔE to the lowest computed polymorph (eV/atom) = 0.041
# - total moment (μB per formula unit) = 0.01
# - formation energy (eV per atom) = 0.73
# - total energy (eV/atom) = -4.578

---

Record 2
# Sr2LaW | the Alexandria database | GGA-PBE | optimized geometry
data_Sr2LaW
_chemical_formula_sum 'Sr2 La1 W1'
_symmetry_space_group_name_H-M 'P 1'
_symmetry_Int_Tables_number 1
_symmetry_space_group_name_Hall 'P 1'
_cell_length_a 4.7795
_cell_length_b 4.7980
_cell_length_c 5.6103
_cell_angle_alpha 90.00
_cell_angle_beta 90.00
_cell_angle_gamma 90.00
loop_
_atom_site_label
_atom_site_type_symbol
_atom_site_fract_x
_atom_site_fract_y
_atom_site_fract_z
Sr1 Sr 0.0000 0.0000 0.0000
Sr2 Sr 0.5000 0.5000 0.0000
La1 La 0.0000 0.5000 0.5000
W1 W 0.5000 0.0000 0.5000
# - ΔE to the lowest computed polymorph (eV/atom) = 0.316
# - total moment (μB per formula unit) = 2.10
# - formation energy (eV per atom) = 1.01
# - total energy (eV/atom) = -4.303

---

Record 3
# SrLaZnW2 | the Alexandria database | GGA-PBE | optimized geometry
data_SrLaZnW2
_chemical_formula_sum 'Sr1 La1 Zn1 W2'
_symmetry_space_group_name_H-M 'P 1'
_symmetry_Int_Tables_number 1
_symmetry_space_group_name_Hall 'P 1'
_cell_length_a 5.0129
_cell_length_b 5.0129
_cell_length_c 5.2990
_cell_angle_alpha 90.00
_cell_angle_beta 90.00
_cell_angle_gamma 90.00
loop_
_atom_site_label
_atom_site_type_symbol
_atom_site_fract_x
_atom_site_fract_y
_atom_site_fract_z
Sr1 Sr 0.0000 0.0000 0.0000
La1 La 0.5000 0.5000 0.5000
Zn1 Zn 0.0000 0.0000 0.5000
W1 W 0.0000 0.5000 0.0000
W2 W 0.5000 0.0000 0.0000
# - total moment (μB per formula unit) = 0.80
# - formation energy (eV per atom) = 2.27
# - total energy (eV/atom) = -4.487

---

Record 4
# Sr2LaY | the Alexandria database | GGA-PBE | optimized geometry
data_Sr2LaY
_chemical_formula_sum 'Sr2 La1 Y1'
_symmetry_space_group_name_H-M 'P 1'
_symmetry_Int_Tables_number 1
_symmetry_space_group_name_Hall 'P 1'
_cell_length_a 4.2343
_cell_length_b 6.1991
_cell_length_c 6.3964
_cell_angle_alpha 90.00
_cell_angle_beta 90.00
_cell_angle_gamma 90.00
loop_
_atom_site_label
_atom_site_type_symbol
_atom_site_fract_x
_atom_site_fract_y
_atom_site_fract_z
Sr1 Sr 0.0000 0.0000 0.0000
Sr2 Sr 0.5000 0.5000 0.0000
La1 La 0.0000 0.5000 0.5000
Y1 Y 0.5000 0.0000 0.5000
# - ΔE to the lowest computed polymorph (eV/atom) = 0.117
# - total moment (μB per formula unit) = 0.00
# - formation energy (eV per atom) = 0.21
# - total energy (eV/atom) = -3.483